A relaxed La2H2SI crystal. Source: the Alexandria database, functional PBE-GGA.

## Properties
V in A^3/atom: 21.05
DFT total energy in eV per atom: -5.011
DOS(E_F) in states/eV per cell: 2.87

a b c (Å): 4.0870 4.0870 8.7305
angles (deg): 90.00 90.00 120.00
Fractional positions:
La 0.3333 0.6667 0.7020
La 0.6667 0.3333 0.2980
H 0.3333 0.6667 0.2627
H 0.6667 0.3333 0.7373
S 0.0000 0.0000 0.5000
I 0.0000 0.0000 0.0000